Compound: LiNpCo4
Source: Alexandria via LeMat-Bulk
Functional: GGA-PBE
Structure: optimized geometry

Summary:
- crystal system = cubic
- magnetization (μB per atom) = 0.003
- energy (Ry per atom) = -0.5307
- SG = F-43m
- energy of formation from the pure elements (eV per formula unit) = -0.042
- Fermi-level density of states (states/eV per atom) = 1.187

a b c (Å): 4.832 4.832 4.832
angles (deg): 60.00 60.00 60.00
Each line ends with the local moment (μB).
Fractional positions:
Np1 0.250 0.250 0.250  -3.60
Co1 0.122 0.626 0.626  1.03
Co2 0.626 0.626 0.122  1.03
Co3 0.626 0.626 0.626  1.03
Co4 0.626 0.122 0.626  1.03
Li1 0.000 0.000 0.000  -0.07